# 1
The following is a DFT calculation (PBE-GGA) of KScPdF6 after structural relaxation.

The structure belongs to space group P1 (No. 1); the cell edges are 5.6099, 5.6272 and 5.6526 Å and the angles 113.80°, 92.38° and 92.40°. The distinct sites, in fractional coordinates, are K at (0.0000, 0.0000, 0.0000), Sc at (0.5011, 0.3416, 0.6596), Pd at (0.5003, 0.6850, 0.3151), F at (0.2484, 0.1038, 0.6647), F at (0.3268, 0.3688, 0.3247), F at (0.3407, 0.6406, 0.9693), F at (0.6611, 0.0319, 0.3595), F at (0.6726, 0.6784, 0.6315) and F at (0.7574, 0.3404, 0.8946).

Its formation energy without anion corrections is -2386 kJ/mol of formula units.

---

# 2
The following is a DFT calculation (PBE-GGA) of Ta3SiB after structural relaxation.

The structure belongs to space group Pm-3m (No. 221); the cell edges are 4.3074, 4.3074 and 4.3074 Å and the angles 90.00°, 90.00° and 90.00°. The distinct sites, in fractional coordinates, are Ta at (0.0000, 0.0000, 0.5000), Si at (0.5000, 0.5000, 0.5000) and B at (0.0000, 0.0000, 0.0000).

For the density of states at the Fermi level, the calculation gives 1.687 states/eV/atom. The value obtained for the energy above the most stable polymorph in this dataset is 0 meV/atom. Its formation energy without anion corrections is 55 kJ/mol of formula units.

---

# 3
The following is a DFT calculation (PBE-GGA) of ZnPPd6 after structural relaxation.

The structure belongs to space group R-3 (No. 148, hexagonal axes); the cell edges are 5.8890, 5.8890 and 12.8548 Å and the angles 90.00°, 90.00° and 120.00°. The distinct sites, in fractional coordinates, are Zn at (0.0000, 0.0000, 0.0000), P at (0.0000, 0.0000, 0.5000) and Pd at (0.0252, 0.2887, 0.2458).

For the density of states at the Fermi level, the calculation gives 0.466 states/eV/atom. As for the energy of formation from the pure elements: -0.23 eV/atom.

---

# 4
The following is a DFT calculation (PBE-GGA) of ZnNi14Ge after structural relaxation.

The structure belongs to space group Amm2 (No. 38); the cell edges are 8.1809, 5.0983 and 8.5890 Å and the angles 90.00°, 90.00° and 90.00°. The distinct sites, in fractional coordinates, are Zn at (0.0000, 0.0000, 0.0000), Ni at (0.0000, 0.2504, 0.2504), Ni at (0.2525, 0.0000, 0.3267), Ni at (0.2520, 0.2490, 0.5780), Ni at (0.2551, 0.0000, 0.8273), Ni at (0.5000, 0.0000, 0.1575), Ni at (0.5000, 0.0000, 0.6577), Ni at (0.5000, 0.2488, 0.4081) and Ge at (0.0000, 0.0000, 0.5007).

For the density of states at the Fermi level, the calculation gives 1.639 states/eV/atom. As for the energy of formation from the pure elements: -0.05 eV/atom.

---

# 5
The following is a DFT calculation (PBE-GGA) of ZnTcCl2 after structural relaxation.

The structure belongs to space group Cmmm (No. 65); the cell edges are 6.2148, 7.5933 and 3.3484 Å and the angles 90.00°, 90.00° and 90.00°. The distinct sites, in fractional coordinates, are Zn at (0.0000, 0.0000, 0.0000), Tc at (0.0000, 0.5000, 0.0000) and Cl at (0.2500, 0.2500, 0.5000).

For the density of states at the Fermi level, the calculation gives 0.577 states/eV/atom. The value obtained for the energy above the most stable polymorph in this dataset is 775 meV/atom. Its formation energy without anion corrections is 203 kJ/mol of formula units.

---

# 6
The following is a DFT calculation (PBE-GGA) of CaMg after structural relaxation.

The structure belongs to space group I-43m (No. 217); the cell edges are 9.8659, 9.8659 and 9.8659 Å and the angles 90.00°, 90.00° and 90.00°. The distinct sites, in fractional coordinates, are Ca at (0.2041, 0.2041, 0.7959) and Mg at (0.1083, 0.1083, 0.1083).

For the density of states at the Fermi level, the calculation gives 1.410 states/eV/atom. As for the energy of formation from the pure elements: 0.62 eV/atom.

---

# 7
The following is a DFT calculation (PBE-GGA) of CrOs2Pd after structural relaxation.

The structure belongs to space group I-42d (No. 122); the cell edges are 5.6780, 5.6780 and 10.0525 Å and the angles 90.00°, 90.00° and 90.00°. The distinct sites, in fractional coordinates, are Cr at (0.0000, 0.0000, 0.0000), Os at (0.2236, 0.2500, 0.1250) and Pd at (0.0000, 0.0000, 0.5000).

For the density of states at the Fermi level, the calculation gives 0.583 states/eV/atom. The value obtained for the energy above the most stable polymorph in this dataset is 1003 meV/atom. As for the energy of formation from the pure elements: 1.50 eV/atom.

---

# 8
The following is a DFT calculation (PBE-GGA) of TlCuO2 after structural relaxation.

The structure belongs to space group P2_1/m (No. 11); the cell edges are 5.6797, 5.4712 and 5.8007 Å and the angles 90.00°, 118.77° and 90.00°. The distinct sites, in fractional coordinates, are Tl at (0.1589, 0.2500, 0.3526), Cu at (0.4937, 0.2500, 0.0054) and O at (0.2870, 0.9999, 0.7871).

The value obtained for the energy above the most stable polymorph in this dataset is 0 meV/atom. Its formation energy without anion corrections is -229 kJ/mol of formula units.